# 1
Density functional theory data (GGA-PBE) for crystalline Cs2RbInBr5 at its relaxed geometry.

Results
**SG**: No. 36
**VASP energy**: -2.957 eV/atom
**DOS(E_F)**: 0.137 states/eV per atom

Cell: 10.443 10.443 14.591 Å, 90.00 90.00 150.49°
Sites, in units of the cell vectors:
Cs1 0.109 0.891 0.500
Cs2 0.148 0.852 0.129
Cs3 0.852 0.148 0.629
Cs4 0.891 0.109 0.000
Rb1 0.208 0.792 0.831
Rb2 0.792 0.208 0.331
In1 0.476 0.524 0.252
In2 0.524 0.476 0.752
Br1 0.032 0.968 0.806
Br2 0.285 0.715 0.481
Br3 0.338 0.662 0.184
Br4 0.379 0.621 0.811
Br5 0.483 0.517 0.576
Br6 0.517 0.483 0.076
Br7 0.621 0.379 0.311
Br8 0.662 0.338 0.684
Br9 0.715 0.285 0.981
Br10 0.968 0.032 0.306

# 2
Density functional theory data (GGA-PBE) for crystalline CsRbIn2Br8 at its relaxed geometry.

Results
**SG**: No. 82
**VASP energy**: -2.902 eV/atom
**DOS(E_F)**: 0.000 states/eV per atom

Cell: 10.460 10.460 10.460 Å, 137.51 137.51 61.66°
Sites, in units of the cell vectors:
Cs1 0.000 0.000 0.000
Rb1 0.250 0.750 0.500
In1 0.500 0.500 0.000
In2 0.750 0.250 0.500
Br1 0.286 0.662 0.110
Br2 0.338 0.448 0.624
Br3 0.430 0.028 0.114
Br4 0.552 0.176 0.890
Br5 0.684 0.570 0.598
Br6 0.824 0.714 0.376
Br7 0.914 0.316 0.886
Br8 0.972 0.086 0.402

# 3
Density functional theory data (GGA-PBE) for crystalline CsRbIn2Br5 at its relaxed geometry.

Results
**SG**: No. 123
**VASP energy**: -2.928 eV/atom
**DOS(E_F)**: 0.100 states/eV per atom

Cell: 5.921 5.921 9.144 Å, 90.00 90.00 90.00°
Sites, in units of the cell vectors:
Cs1 0.000 0.000 0.000
Rb1 0.000 0.000 0.500
In1 0.500 0.500 0.321
In2 0.500 0.500 0.679
Br1 0.000 0.500 0.284
Br2 0.000 0.500 0.716
Br3 0.500 0.000 0.284
Br4 0.500 0.000 0.716
Br5 0.500 0.500 0.000

# 4
Density functional theory data (GGA-PBE) for crystalline Cs2InRhBr6 at its relaxed geometry.

Results
**SG**: No. 225
**VASP energy**: -3.234 eV/atom

Cell: 7.838 7.838 7.838 Å, 60.00 60.00 60.00°
Sites, in units of the cell vectors:
Cs1 0.250 0.250 0.250
Cs2 0.750 0.750 0.750
In1 0.000 0.000 0.000
Rh1 0.500 0.500 0.500
Br1 0.270 0.270 0.730
Br2 0.270 0.730 0.270
Br3 0.270 0.730 0.730
Br4 0.730 0.270 0.270
Br5 0.730 0.270 0.730
Br6 0.730 0.730 0.270

| no. | raw formation energy (eV/atom) |
| --- | --- |
| 1 | -1.4258 |
| 2 | -1.1782 |
| 3 | -1.1876 |
| 4 | -1.0501 |